No. 1
# LaGa2Co2Si (PBE, optimized geometry)
# Formation energy without anion corrections   -2.23 eV per formula unit
data_LaGa2Co2Si
_cell_length_a 4.2823
_cell_length_b 4.2823
_cell_length_c 5.7564
_cell_angle_alpha 90.00
_cell_angle_beta 90.00
_cell_angle_gamma 90.00
_symmetry_space_group_name_H-M 'P 1'
_symmetry_Int_Tables_number 1
_symmetry_space_group_name_Hall 'P 1'
loop_
_atom_site_label
_atom_site_fract_x
_atom_site_fract_y
_atom_site_fract_z
La1 0.0000 0.0000 0.5000
Ga1 0.5000 0.5000 0.7496
Ga2 0.5000 0.5000 0.2504
Co1 0.5000 0.0000 0.0000
Co2 0.0000 0.5000 0.0000
Si1 0.0000 0.0000 0.0000

---

No. 2
# ZrTlIn (PBE, optimized geometry)
# Relative energy among the computed polymorphs   25.5 kJ/mol of atoms
# Energy of formation from the pure elements   0.28 eV per atom
data_ZrTlIn
_cell_length_a 4.9202
_cell_length_b 4.9202
_cell_length_c 4.9202
_cell_angle_alpha 60.00
_cell_angle_beta 60.00
_cell_angle_gamma 60.00
_symmetry_space_group_name_H-M 'P 1'
_symmetry_Int_Tables_number 1
_symmetry_space_group_name_Hall 'P 1'
loop_
_atom_site_label
_atom_site_fract_x
_atom_site_fract_y
_atom_site_fract_z
In1 0.0000 0.0000 0.0000
Tl1 0.5000 0.5000 0.5000
Zr1 0.2500 0.2500 0.2500

---

No. 3
# Sr2NbNi2 (PBE, optimized geometry)
# Relative energy among the computed polymorphs   62.0 kJ/mol of atoms
# Energy of formation from the pure elements   0.98 eV per atom
data_Sr2NbNi2
_cell_length_a 4.3616
_cell_length_b 4.3616
_cell_length_c 6.8790
_cell_angle_alpha 71.52
_cell_angle_beta 71.52
_cell_angle_gamma 90.00
_symmetry_space_group_name_H-M 'P 1'
_symmetry_Int_Tables_number 1
_symmetry_space_group_name_Hall 'P 1'
loop_
_atom_site_label
_atom_site_fract_x
_atom_site_fract_y
_atom_site_fract_z
Sr1 0.7500 0.2500 0.5000
Sr2 0.2500 0.7500 0.5000
Nb1 0.0000 0.0000 0.0000
Ni1 0.4117 0.4117 0.1766
Ni2 0.5883 0.5883 0.8234

---

No. 4
# KTl9Au3 (PBE, optimized geometry)
# Energy of formation from the pure elements   -0.03 eV per atom
data_KTl9Au3
_cell_length_a 8.3091
_cell_length_b 8.3091
_cell_length_c 8.6672
_cell_angle_alpha 83.08
_cell_angle_beta 83.08
_cell_angle_gamma 138.55
_symmetry_space_group_name_H-M 'P 1'
_symmetry_Int_Tables_number 1
_symmetry_space_group_name_Hall 'P 1'
loop_
_atom_site_label
_atom_site_fract_x
_atom_site_fract_y
_atom_site_fract_z
K1 0.0000 0.0000 0.0000
Tl1 0.7044 0.4846 0.7960
Tl2 0.2956 0.5154 0.2040
Tl3 0.5154 0.2956 0.2040
Tl4 0.4846 0.7044 0.7960
Tl5 0.6416 0.0015 0.3468
Tl6 0.3584 0.9985 0.6532
Tl7 0.9985 0.3584 0.6532
Tl8 0.0015 0.6416 0.3468
Tl9 0.0000 0.0000 0.5000
Au1 0.5000 0.5000 0.5000
Au2 0.0000 0.5000 0.0000
Au3 0.5000 0.0000 0.0000

---

No. 5
# K3MnBr8 (PBE, optimized geometry)
# Formation energy without anion corrections   -10.71 eV per formula unit
data_K3MnBr8
_cell_length_a 8.1839
_cell_length_b 8.1839
_cell_length_c 8.3848
_cell_angle_alpha 119.21
_cell_angle_beta 119.21
_cell_angle_gamma 90.00
_symmetry_space_group_name_H-M 'P 1'
_symmetry_Int_Tables_number 1
_symmetry_space_group_name_Hall 'P 1'
loop_
_atom_site_label
_atom_site_fract_x
_atom_site_fract_y
_atom_site_fract_z
K1 0.7500 0.2500 0.5000
K2 0.5000 0.5000 0.0000
K3 0.2500 0.7500 0.5000
Mn1 0.0000 0.0000 0.0000
Br1 0.3477 0.3477 0.2472
Br2 0.3477 0.8995 0.2472
Br3 0.1005 0.6523 0.7528
Br4 0.1005 0.1005 0.7528
Br5 0.8995 0.8995 0.2472
Br6 0.8995 0.3477 0.2472
Br7 0.6523 0.1005 0.7528
Br8 0.6523 0.6523 0.7528

---

No. 6
# LiAc2TcO6 (PBE, optimized geometry)
# Formation energy without anion corrections   -25.57 eV per formula unit
data_LiAc2TcO6
_cell_length_a 5.7277
_cell_length_b 5.7470
_cell_length_c 8.0638
_cell_angle_alpha 90.00
_cell_angle_beta 90.02
_cell_angle_gamma 90.00
_symmetry_space_group_name_H-M 'P 1'
_symmetry_Int_Tables_number 1
_symmetry_space_group_name_Hall 'P 1'
loop_
_atom_site_label
_atom_site_fract_x
_atom_site_fract_y
_atom_site_fract_z
Li1 0.0000 0.5000 0.0000
Li2 0.5000 0.0000 0.5000
Ac1 0.9947 0.9644 0.2491
Ac2 0.5053 0.4644 0.2509
Ac3 0.4947 0.5356 0.7491
Ac4 0.0053 0.0356 0.7509
Tc1 0.0000 0.5000 0.5000
Tc2 0.5000 0.0000 0.0000
O1 0.9319 0.4864 0.7411
O2 0.7738 0.2065 0.0358
O3 0.7952 0.2256 0.4625
O4 0.7048 0.7256 0.0375
O5 0.7262 0.7065 0.4642
O6 0.5681 0.9864 0.7589
O7 0.4319 0.0136 0.2411
O8 0.2738 0.2935 0.5358
O9 0.2952 0.2744 0.9625
O10 0.2262 0.7935 0.9642
O11 0.2048 0.7744 0.5375
O12 0.0681 0.5136 0.2589

---

No. 7
# TlSb2H (PBE, optimized geometry)
# Relative energy among the computed polymorphs   0.0 kJ/mol of atoms
data_TlSb2H
_cell_length_a 7.7081
_cell_length_b 6.4937
_cell_length_c 4.1118
_cell_angle_alpha 90.00
_cell_angle_beta 90.04
_cell_angle_gamma 90.00
_symmetry_space_group_name_H-M 'P 1'
_symmetry_Int_Tables_number 1
_symmetry_space_group_name_Hall 'P 1'
loop_
_atom_site_label
_atom_site_fract_x
_atom_site_fract_y
_atom_site_fract_z
Tl1 0.9283 0.2500 0.7505
Tl2 0.0717 0.7500 0.2495
Sb1 0.6304 0.5187 0.2501
Sb2 0.3696 0.4813 0.7499
Sb3 0.3696 0.0187 0.7499
Sb4 0.6304 0.9813 0.2501
H1 0.0427 0.2500 0.2509
H2 0.9573 0.7500 0.7491

---

No. 8
# Tb8Nd3Dy2 (PBE, optimized geometry)
# Relative energy among the computed polymorphs   0.0 kJ/mol of atoms
# Energy of formation from the pure elements   0.02 eV per atom
data_Tb8Nd3Dy2
_cell_length_a 6.2050
_cell_length_b 8.0144
_cell_length_c 9.4867
_cell_angle_alpha 65.04
_cell_angle_beta 83.79
_cell_angle_gamma 82.54
_symmetry_space_group_name_H-M 'P 1'
_symmetry_Int_Tables_number 1
_symmetry_space_group_name_Hall 'P 1'
loop_
_atom_site_label
_atom_site_fract_x
_atom_site_fract_y
_atom_site_fract_z
Tb1 0.2297 0.5373 0.0780
Tb2 0.7703 0.4627 0.9220
Tb3 0.1533 0.6902 0.3863
Tb4 0.8467 0.3098 0.6137
Tb5 0.0784 0.8453 0.6901
Tb6 0.3090 0.3876 0.7670
Tb7 0.6910 0.6124 0.2330
Tb8 0.9216 0.1547 0.3099
Nd1 0.0000 0.0000 0.0000
Nd2 0.4605 0.0775 0.1558
Nd3 0.5395 0.9225 0.8442
Dy1 0.6166 0.7682 0.5386
Dy2 0.3834 0.2318 0.4614

---

No. 9
# Sc2InTc (PBE, optimized geometry)
# Energy of formation from the pure elements   0.40 eV per atom
data_Sc2InTc
_cell_length_a 4.1636
_cell_length_b 4.1636
_cell_length_c 10.2477
_cell_angle_alpha 78.28
_cell_angle_beta 78.28
_cell_angle_gamma 90.00
_symmetry_space_group_name_H-M 'P 1'
_symmetry_Int_Tables_number 1
_symmetry_space_group_name_Hall 'P 1'
loop_
_atom_site_label
_atom_site_fract_x
_atom_site_fract_y
_atom_site_fract_z
Sc1 0.6062 0.1250 0.2500
Sc2 0.1438 0.6250 0.2500
Sc3 0.3750 0.3938 0.7500
Sc4 0.8750 0.8562 0.7500
Tc1 0.5000 0.5000 0.0000
Tc2 0.2500 0.7500 0.5000
In1 0.0000 0.0000 0.0000
In2 0.7500 0.2500 0.5000

---

We obtain theoretical density values of 6.67, 8.09, 5.47, 11.01, 3.32, 8.19, 7.24, 7.96, 5.91 g/cm³ for the records listed above, in that order.
We obtain energy values of -5.4747, -4.2743, -4.0233, -2.5083, -3.0466, -7.5817, -3.2363, -4.6414, -6.0452 eV/atom for the records listed above, in that order.